Below is Bi12PtCl12 at its PBEsol-relaxed geometry, with properties calculated at the SCAN level.

## Properties
ΔE_f (raw) = -1474 kJ/mol of formula units

Unit cell a=8.958 b=9.127 c=9.154 alpha=90.26 beta=90.05 gamma=93.39
Atoms (fractional coordinates):
Bi: 0.000 0.000 0.000
Bi: 0.006 0.334 0.259
Bi: 0.083 0.750 0.320
Bi: 0.092 0.081 0.584
Bi: 0.326 0.479 0.825
Bi: 0.343 0.091 0.242
Bi: 0.483 0.531 0.528
Bi: 0.496 0.780 0.731
Bi: 0.594 0.609 0.020
Bi: 0.606 0.310 0.904
Bi: 0.747 0.997 0.344
Bi: 0.762 0.549 0.717
Pt: 0.045 0.043 0.292
Cl: 0.018 0.698 0.031
Cl: 0.059 0.387 0.554
Cl: 0.133 0.790 0.625
Cl: 0.302 0.054 0.942
Cl: 0.309 0.392 0.210
Cl: 0.383 0.794 0.253
Cl: 0.396 0.117 0.541
Cl: 0.693 0.976 0.044
Cl: 0.706 0.291 0.326
Cl: 0.779 0.692 0.357
Cl: 0.786 0.013 0.644
Cl: 0.972 0.298 0.956

Below is K2TmAgCl6 at its PBEsol-relaxed geometry, with properties calculated at the SCAN level.

## Properties
ΔE_f (raw) = -1925 kJ/mol of formula units

Unit cell a=7.347 b=7.347 c=7.347 alpha=60.00 beta=60.00 gamma=60.00
Atoms (fractional coordinates):
K: 0.250 0.250 0.250
K: 0.750 0.750 0.750
Tm: 0.000 0.000 0.000
Ag: 0.500 0.500 0.500
Cl: 0.246 0.246 0.754
Cl: 0.246 0.754 0.246
Cl: 0.246 0.754 0.754
Cl: 0.754 0.246 0.246
Cl: 0.754 0.246 0.754
Cl: 0.754 0.754 0.246

Below is BaLi2Ag at its PBEsol-relaxed geometry, with properties calculated at the SCAN level.

## Properties
Energy above the most stable polymorph in this dataset = 55.8 meV per atom
Formation energy = -99 meV/atom

Unit cell a=4.639 b=4.639 c=17.643 alpha=90.00 beta=90.00 gamma=120.00
Atoms (fractional coordinates):
Ba: 0.000 0.000 0.000
Ba: 0.333 0.667 0.667
Ba: 0.667 0.333 0.333
Li: 0.000 0.000 0.195
Li: 0.000 0.000 0.805
Li: 0.333 0.667 0.472
Li: 0.333 0.667 0.862
Li: 0.667 0.333 0.138
Li: 0.667 0.333 0.528
Ag: 0.000 0.000 0.500
Ag: 0.333 0.667 0.167
Ag: 0.667 0.333 0.833

Below is Cr2ReSe at its PBEsol-relaxed geometry, with properties calculated at the SCAN level.

## Properties
Energy above the most stable polymorph in this dataset = 196.2 meV per atom
ΔE_f (raw) = 171 kJ/mol of formula units

Unit cell a=2.823 b=3.839 c=4.839 alpha=90.00 beta=90.00 gamma=90.00
Atoms (fractional coordinates):
Cr: 0.000 0.000 0.248
Cr: 0.000 0.000 0.752
Re: 0.500 0.500 0.500
Se: 0.500 0.500 0.000

Below is FeAsPS2 at its PBEsol-relaxed geometry, with properties calculated at the SCAN level.

## Properties
ΔE_f (raw) = 319 kJ/mol of formula units

Unit cell a=4.109 b=4.109 c=5.027 alpha=90.00 beta=90.00 gamma=90.00
Atoms (fractional coordinates):
Fe: 0.000 0.000 0.000
As: 0.000 0.000 0.500
P: 0.500 0.500 0.500
S: 0.000 0.500 0.000
S: 0.500 0.000 0.000

Below is Na3Mn2P2C2O14 at its PBEsol-relaxed geometry, with properties calculated at the SCAN level.

## Properties
ΔE_f (raw) = -4666 kJ/mol of formula units

Unit cell a=5.118 b=6.462 c=8.928 alpha=89.39 beta=88.10 gamma=89.54
Atoms (fractional coordinates):
Na: 0.000 0.000 0.000
Na: 0.015 0.474 0.004
Na: 0.533 0.516 0.532
Mn: 0.558 0.734 0.124
Mn: 0.985 0.229 0.425
P: 0.053 0.732 0.345
P: 0.494 0.239 0.201
C: 0.060 0.236 0.684
C: 0.487 0.733 0.860
O: 0.098 0.240 0.821
O: 0.192 0.238 0.238
O: 0.245 0.233 0.578
O: 0.301 0.743 0.968
O: 0.353 0.722 0.302
O: 0.446 0.719 0.726
O: 0.561 0.424 0.097
O: 0.572 0.044 0.111
O: 0.643 0.254 0.348
O: 0.718 0.738 0.922
O: 0.829 0.235 0.625
O: 0.908 0.725 0.194
O: 0.983 0.928 0.431
O: 0.984 0.543 0.444

Below is NaPO2F at its PBEsol-relaxed geometry, with properties calculated at the SCAN level.

## Properties
ΔE_f (raw) = 81 kJ/mol of formula units

Unit cell a=4.476 b=4.476 c=3.458 alpha=90.00 beta=90.00 gamma=90.00
Atoms (fractional coordinates):
Na: 0.000 0.000 0.000
P: 0.500 0.500 0.000
O: 0.000 0.500 0.500
O: 0.500 0.000 0.500
F: 0.500 0.500 0.500

Below is LiScMo2 at its PBEsol-relaxed geometry, with properties calculated at the SCAN level.

## Properties
Energy above the most stable polymorph in this dataset = 47.5 meV per atom
Formation energy = 311 meV/atom

Unit cell a=3.715 b=3.715 c=9.296 alpha=90.00 beta=90.00 gamma=90.00
Atoms (fractional coordinates):
Li: 0.000 0.000 0.000
Li: 0.500 0.500 0.500
Sc: 0.000 0.000 0.500
Sc: 0.500 0.500 0.000
Mo: 0.000 0.500 0.250
Mo: 0.000 0.500 0.750
Mo: 0.500 0.000 0.250
Mo: 0.500 0.000 0.750

Below is HfNiNO2 at its PBEsol-relaxed geometry, with properties calculated at the SCAN level.

## Properties
ΔE_f (raw) = -476 kJ/mol of formula units

Unit cell a=3.993 b=3.993 c=4.206 alpha=90.00 beta=90.00 gamma=90.00
Atoms (fractional coordinates):
Hf: 0.000 0.000 0.000
Ni: 0.500 0.500 0.500
N: 0.000 0.000 0.500
O: 0.000 0.500 0.000
O: 0.500 0.000 0.000

Below is MnSbCl at its PBEsol-relaxed geometry, with properties calculated at the SCAN level.

## Properties
Energy above the most stable polymorph in this dataset = 0.0 meV per atom
ΔE_f (raw) = -182 kJ/mol of formula units

Unit cell a=3.328 b=3.328 c=6.910 alpha=90.00 beta=90.00 gamma=120.00
Atoms (fractional coordinates):
Mn: 0.000 0.000 0.000
Sb: 0.333 0.667 0.716
Cl: 0.667 0.333 0.208

Below is CrNi at its PBEsol-relaxed geometry, with properties calculated at the SCAN level.

## Properties
Formation energy = 147 meV/atom

Unit cell a=2.888 b=2.888 c=5.170 alpha=90.00 beta=90.00 gamma=90.00
Atoms (fractional coordinates):
Cr: 0.250 0.250 0.124
Cr: 0.750 0.750 0.876
Ni: 0.250 0.250 0.623
Ni: 0.750 0.750 0.377

Below is AlV12Ge3 at its PBEsol-relaxed geometry, with properties calculated at the SCAN level.

## Properties
Formation energy = -344 meV/atom

Unit cell a=4.685 b=4.723 c=9.429 alpha=90.00 beta=90.00 gamma=90.00
Atoms (fractional coordinates):
Al: 0.000 0.000 0.000
V: 0.000 0.500 0.123
V: 0.000 0.500 0.376
V: 0.000 0.500 0.624
V: 0.000 0.500 0.877
V: 0.252 0.000 0.252
V: 0.252 0.000 0.748
V: 0.500 0.253 0.000
V: 0.500 0.253 0.500
V: 0.500 0.747 0.000
V: 0.500 0.747 0.500
V: 0.748 0.000 0.252
V: 0.748 0.000 0.748
Ge: 0.000 0.000 0.500
Ge: 0.500 0.500 0.250
Ge: 0.500 0.500 0.750

Below is YIn2Cu2 at its PBEsol-relaxed geometry, with properties calculated at the SCAN level.

## Properties
Formation energy = -345 meV/atom

Unit cell a=4.206 b=4.206 c=10.984 alpha=90.00 beta=90.00 gamma=90.00
Atoms (fractional coordinates):
Y: 0.000 0.000 0.000
Y: 0.500 0.500 0.500
In: 0.000 0.500 0.250
In: 0.000 0.500 0.750
In: 0.500 0.000 0.250
In: 0.500 0.000 0.750
Cu: 0.000 0.000 0.395
Cu: 0.000 0.000 0.605
Cu: 0.500 0.500 0.105
Cu: 0.500 0.500 0.895

Below is V4GaSe8 at its PBEsol-relaxed geometry, with properties calculated at the SCAN level.

## Properties
ΔE_f (raw) = -1088 kJ/mol of formula units

Unit cell a=7.103 b=7.103 c=7.103 alpha=60.00 beta=60.00 gamma=60.00
Atoms (fractional coordinates):
V: 0.396 0.396 0.396
V: 0.396 0.396 0.812
V: 0.396 0.812 0.396
V: 0.812 0.396 0.396
Ga: 0.000 0.000 0.000
Se: 0.102 0.633 0.633
Se: 0.138 0.138 0.138
Se: 0.138 0.138 0.586
Se: 0.138 0.586 0.138
Se: 0.586 0.138 0.138
Se: 0.633 0.102 0.633
Se: 0.633 0.633 0.102
Se: 0.633 0.633 0.633

Below is Te2Au at its PBEsol-relaxed geometry, with properties calculated at the SCAN level.

## Properties
ΔE_f (raw) = -48 kJ/mol of formula units

Unit cell a=4.160 b=4.160 c=5.057 alpha=90.00 beta=90.00 gamma=120.00
Atoms (fractional coordinates):
Te: 0.333 0.667 0.289
Te: 0.667 0.333 0.711
Au: 0.000 0.000 0.000

Below is CuH at its PBEsol-relaxed geometry, with properties calculated at the SCAN level.

## Properties
DFT total energy = -9.2087 eV per atom

Unit cell a=2.812 b=2.812 c=4.465 alpha=90.00 beta=90.00 gamma=120.00
Atoms (fractional coordinates):
Cu: 0.333 0.667 0.000
Cu: 0.667 0.333 0.500
H: 0.333 0.667 0.617
H: 0.667 0.333 0.117

Below is Be3FeH at its PBEsol-relaxed geometry, with properties calculated at the SCAN level.

## Properties
DFT total energy = -5.3923 eV per atom

Unit cell a=3.970 b=3.970 c=3.970 alpha=90.00 beta=90.00 gamma=90.00
Atoms (fractional coordinates):
Be: 0.000 0.000 0.500
Be: 0.000 0.500 0.000
Be: 0.500 0.000 0.000
Fe: 0.000 0.000 0.000
H: 0.500 0.500 0.500

Below is Sr3ZnHg at its PBEsol-relaxed geometry, with properties calculated at the SCAN level.

## Properties
Formation energy = -19 meV/atom

Unit cell a=6.124 b=6.124 c=6.124 alpha=90.00 beta=90.00 gamma=90.00
Atoms (fractional coordinates):
Sr: 0.000 0.000 0.500
Sr: 0.000 0.500 0.000
Sr: 0.500 0.000 0.000
Zn: 0.500 0.500 0.500
Hg: 0.000 0.000 0.000

Below is Co2ReRh at its PBEsol-relaxed geometry, with properties calculated at the SCAN level.

## Properties
Energy above the most stable polymorph in this dataset = 232.2 meV per atom
Formation energy = 296 meV/atom

Unit cell a=5.828 b=5.828 c=5.828 alpha=90.00 beta=90.00 gamma=90.00
Atoms (fractional coordinates):
Co: 0.000 0.000 0.000
Co: 0.000 0.500 0.500
Co: 0.250 0.250 0.250
Co: 0.250 0.750 0.750
Co: 0.500 0.000 0.500
Co: 0.500 0.500 0.000
Co: 0.750 0.250 0.750
Co: 0.750 0.750 0.250
Re: 0.250 0.250 0.750
Re: 0.250 0.750 0.250
Re: 0.750 0.250 0.250
Re: 0.750 0.750 0.750
Rh: 0.000 0.000 0.500
Rh: 0.000 0.500 0.000
Rh: 0.500 0.000 0.000
Rh: 0.500 0.500 0.500

Below is CaBe2Au at its PBEsol-relaxed geometry, with properties calculated at the SCAN level.

## Properties
Energy above the most stable polymorph in this dataset = 269.2 meV per atom
Formation energy = -207 meV/atom

Unit cell a=4.360 b=4.360 c=15.962 alpha=90.00 beta=90.00 gamma=90.00
Atoms (fractional coordinates):
Ca: 0.000 0.250 0.375
Ca: 0.000 0.750 0.625
Ca: 0.500 0.250 0.125
Ca: 0.500 0.750 0.875
Be: 0.000 0.000 0.000
Be: 0.000 0.500 0.000
Be: 0.250 0.250 0.750
Be: 0.250 0.750 0.250
Be: 0.500 0.000 0.500
Be: 0.500 0.500 0.500
Be: 0.750 0.250 0.750
Be: 0.750 0.750 0.250
Au: 0.000 0.250 0.875
Au: 0.000 0.750 0.125
Au: 0.500 0.250 0.625
Au: 0.500 0.750 0.375

Below is Cd2GaO at its PBEsol-relaxed geometry, with properties calculated at the SCAN level.

## Properties
ΔE_f (raw) = 55 kJ/mol of formula units

Unit cell a=6.459 b=6.459 c=6.459 alpha=90.00 beta=90.00 gamma=90.00
Atoms (fractional coordinates):
Cd: 0.250 0.250 0.250
Cd: 0.250 0.250 0.750
Cd: 0.250 0.750 0.250
Cd: 0.250 0.750 0.750
Cd: 0.750 0.250 0.250
Cd: 0.750 0.250 0.750
Cd: 0.750 0.750 0.250
Cd: 0.750 0.750 0.750
Ga: 0.000 0.000 0.000
Ga: 0.000 0.500 0.500
Ga: 0.500 0.000 0.500
Ga: 0.500 0.500 0.000
O: 0.000 0.000 0.500
O: 0.000 0.500 0.000
O: 0.500 0.000 0.000
O: 0.500 0.500 0.500

Below is CdTcSnGe2 at its PBEsol-relaxed geometry, with properties calculated at the SCAN level.

## Properties
Formation energy = 1552 meV/atom

Unit cell a=5.162 b=5.162 c=5.181 alpha=90.00 beta=90.00 gamma=90.00
Atoms (fractional coordinates):
Cd: 0.000 0.000 0.000
Tc: 0.500 0.500 0.000
Sn: 0.000 0.000 0.500
Ge: 0.000 0.500 0.500
Ge: 0.500 0.000 0.500

Below is MgZr2Mo at its PBEsol-relaxed geometry, with properties calculated at the SCAN level.

## Properties
Energy above the most stable polymorph in this dataset = 47.6 meV per atom
Formation energy = 68 meV/atom

Unit cell a=4.669 b=4.669 c=3.520 alpha=90.00 beta=90.00 gamma=90.00
Atoms (fractional coordinates):
Mg: 0.000 0.000 0.000
Zr: 0.000 0.500 0.500
Zr: 0.500 0.000 0.500
Mo: 0.500 0.500 0.000

Below is KPt2 at its PBEsol-relaxed geometry, with properties calculated at the SCAN level.

## Properties
Formation energy = 201 meV/atom

Unit cell a=2.765 b=18.485 c=4.637 alpha=90.00 beta=90.00 gamma=90.00
Atoms (fractional coordinates):
K: 0.000 0.062 0.250
K: 0.000 0.938 0.750
K: 0.500 0.438 0.750
K: 0.500 0.562 0.250
Pt: 0.000 0.276 0.750
Pt: 0.000 0.351 0.250
Pt: 0.000 0.649 0.750
Pt: 0.000 0.724 0.250
Pt: 0.500 0.149 0.750
Pt: 0.500 0.224 0.250
Pt: 0.500 0.776 0.750
Pt: 0.500 0.851 0.250

Below is KWBr2 at its PBEsol-relaxed geometry, with properties calculated at the SCAN level.

## Properties
Energy above the most stable polymorph in this dataset = 230.9 meV per atom
ΔE_f (raw) = 230 kJ/mol of formula units

Unit cell a=3.354 b=3.354 c=7.825 alpha=90.00 beta=90.00 gamma=90.00
Atoms (fractional coordinates):
K: 0.000 0.000 0.000
W: 0.000 0.000 0.500
Br: 0.500 0.500 0.295
Br: 0.500 0.500 0.705

Below is Be3PdPb at its PBEsol-relaxed geometry, with properties calculated at the SCAN level.

## Properties
Formation energy = 1319 meV/atom

Unit cell a=4.496 b=4.496 c=4.496 alpha=90.00 beta=90.00 gamma=90.00
Atoms (fractional coordinates):
Be: 0.000 0.000 0.500
Be: 0.000 0.500 0.000
Be: 0.500 0.000 0.000
Pd: 0.500 0.500 0.500
Pb: 0.000 0.000 0.000